# Re3TeRu | the Alexandria database | PBE | optimized geometry
data_Re3TeRu
_chemical_formula_sum 'Re3 Te1 Ru1'
_symmetry_space_group_name_H-M 'P 1'
_symmetry_Int_Tables_number 1
_symmetry_space_group_name_Hall 'P 1'
_cell_length_a 4.7023
_cell_length_b 4.7023
_cell_length_c 4.7023
_cell_angle_alpha 90.00
_cell_angle_beta 90.00
_cell_angle_gamma 90.00
loop_
_atom_site_label
_atom_site_type_symbol
_atom_site_fract_x
_atom_site_fract_y
_atom_site_fract_z
Re1 Re 0.0000 0.5000 0.0000
Re2 Re 0.0000 0.0000 0.5000
Re3 Re 0.5000 0.0000 0.0000
Te1 Te 0.5000 0.5000 0.5000
Ru1 Ru 0.0000 0.0000 0.0000
# * uncorrected formation energy: 2.1029 eV per atom
# * ρ: 12.57 Mg/m³
# * polymorph energy (0 for the lowest one): 0 meV per atom
# * SG: No. 221
# * VASP energy: -7.8495 eV per atom